# 1
{
  "formula": "Nb2AgAu2",
  "functional": "PBE",
  "state": "relaxed",
  "lattice_angstrom": [[8.253, 0.000, 0.000], [0.000, 8.253, 0.000], [0.000, 0.000, 2.834]],
  "species": ["Nb", "Nb", "Nb", "Nb", "Ag", "Ag", "Au", "Au", "Au", "Au"],
  "fractional_positions": [[0.120, 0.380, 0.000], [0.380, 0.880, 0.000], [0.620, 0.120, 0.000], [0.880, 0.620, 0.000], [0.000, 0.000, 0.000], [0.500, 0.500, 0.000], [0.173, 0.673, 0.500], [0.327, 0.173, 0.500], [0.673, 0.827, 0.500], [0.827, 0.327, 0.500]],
  "sg": "No. 127",
  "m_tot_mub_per_fu": 0.00,
  "final_energy_ev_per_cell": -57.2
}

=====

# 2
{
  "formula": "VSn",
  "functional": "PBE",
  "state": "relaxed",
  "lattice_angstrom": [[7.545, 0.000, 0.000], [0.000, 7.545, 0.000], [0.000, 0.000, 7.545]],
  "species": ["V", "V", "V", "V", "V", "V", "Sn", "Sn", "Sn", "Sn", "Sn", "Sn"],
  "fractional_positions": [[0.000, 0.250, 0.500], [0.000, 0.750, 0.500], [0.250, 0.500, 0.000], [0.500, 0.000, 0.250], [0.500, 0.000, 0.750], [0.750, 0.500, 0.000], [0.000, 0.500, 0.250], [0.000, 0.500, 0.750], [0.250, 0.000, 0.500], [0.500, 0.250, 0.000], [0.500, 0.750, 0.000], [0.750, 0.000, 0.500]],
  "sg": "No. 223",
  "m_tot_mub_per_fu": 1.76,
  "final_energy_ev_per_cell": -63.2
}